Material: KPO2
Method: DFT, PBE-GGA
State: optimized geometry

The structure in POSCAR format:
```
KPO2
1.0
1.854 0.000 6.920
-0.927 1.606 6.920
-0.927 -1.606 6.920
O K P
2 1 1
Direct
0.883 0.883 0.883
0.117 0.117 0.117
0.000 0.000 0.000
0.500 0.500 0.500
```

Material: KPO3
Method: DFT, PBE-GGA
State: optimized geometry

The structure in POSCAR format:
```
KPO3
1.0
-3.956 -2.514 -0.898
4.558 -6.463 -1.490
-0.611 -1.665 7.850
O P K
12 4 4
Direct
0.240 0.957 0.767
0.589 0.343 0.283
0.770 0.465 0.820
0.270 0.820 0.465
0.760 0.043 0.233
0.411 0.657 0.717
0.740 0.767 0.957
0.911 0.717 0.657
0.260 0.233 0.043
0.230 0.535 0.180
0.730 0.180 0.535
0.089 0.283 0.343
0.781 0.192 0.353
0.219 0.808 0.647
0.281 0.353 0.192
0.719 0.647 0.808
0.750 0.113 0.887
0.750 0.685 0.315
0.250 0.315 0.685
0.250 0.887 0.113
```

Material: K2PO3
Method: DFT, PBE-GGA
State: optimized geometry

The structure in POSCAR format:
```
K2PO3
1.0
6.798 2.211 0.000
0.847 7.098 0.000
-3.823 -4.654 6.167
K O P
4 6 2
Direct
0.250 0.750 0.500
0.267 0.733 0.000
0.733 0.267 0.000
0.750 0.250 0.500
0.224 0.224 0.664
0.560 0.560 0.336
0.858 0.858 0.716
0.440 0.440 0.664
0.776 0.776 0.336
0.142 0.142 0.284
0.734 0.734 0.469
0.266 0.266 0.531
```

Material: K3PO4
Method: DFT, PBE-GGA
State: optimized geometry

The structure in POSCAR format:
```
K3PO4
1.0
6.015 0.000 0.000
0.000 8.206 0.000
0.000 0.000 11.370
K P O
12 4 16
Direct
0.363 0.250 0.570
0.863 0.750 0.930
0.306 0.991 0.855
0.637 0.750 0.430
0.806 0.009 0.645
0.306 0.509 0.855
0.694 0.009 0.145
0.194 0.509 0.355
0.806 0.491 0.645
0.694 0.491 0.145
0.194 0.991 0.355
0.137 0.250 0.070
0.217 0.750 0.615
0.717 0.250 0.885
0.283 0.750 0.115
0.783 0.250 0.385
0.448 0.750 0.008
0.923 0.250 0.268
0.948 0.250 0.492
0.423 0.750 0.232
0.365 0.906 0.610
0.865 0.094 0.890
0.635 0.406 0.390
0.077 0.750 0.732
0.552 0.250 0.992
0.135 0.594 0.110
0.865 0.406 0.890
0.365 0.594 0.610
0.135 0.906 0.110
0.052 0.750 0.508
0.635 0.094 0.390
0.577 0.250 0.768
```

Material: KPO2
Method: DFT, PBE-GGA
State: optimized geometry

The structure in POSCAR format:
```
KPO2
1.0
-1.154 -1.871 6.297
-2.381 -4.600 4.202
1.186 -4.323 4.938
O P K
2 1 1
Direct
0.081 0.081 0.081
0.919 0.919 0.919
0.000 0.000 0.000
0.500 0.500 0.500
```

Material: KP3O
Method: DFT, PBE-GGA
State: optimized geometry

The structure in POSCAR format:
```
KP3O
1.0
-2.590 -2.246 2.801
0.934 -3.757 -2.148
3.467 -0.665 2.672
P K O
3 1 1
Direct
0.000 0.000 0.500
0.000 0.500 0.000
0.500 0.000 0.000
0.500 0.500 0.500
0.000 0.000 0.000
```

Material: K2PO3
Method: DFT, PBE-GGA
State: optimized geometry

The structure in POSCAR format:
```
K2PO3
1.0
-2.571 3.394 2.334
-6.794 -5.139 -5.064
-1.579 -8.777 11.025
K O P
8 12 4
Direct
0.819 0.638 0.587
0.959 0.919 0.141
0.319 0.638 0.913
0.681 0.362 0.087
0.459 0.919 0.359
0.041 0.081 0.859
0.541 0.081 0.641
0.181 0.362 0.413
0.615 0.231 0.816
0.266 0.531 0.095
0.975 0.449 0.750
0.025 0.551 0.250
0.525 0.551 0.250
0.385 0.769 0.184
0.734 0.469 0.905
0.115 0.231 0.684
0.766 0.531 0.405
0.885 0.769 0.316
0.234 0.469 0.595
0.475 0.449 0.750
0.193 0.387 0.686
0.693 0.387 0.814
0.307 0.613 0.186
0.807 0.613 0.314
```

Material: KPO3
Method: DFT, PBE-GGA
State: optimized geometry

The structure in POSCAR format:
```
KPO3
1.0
7.491 -0.002 0.000
-2.377 10.974 0.000
0.000 0.000 12.274
K P O
12 12 36
Direct
0.650 0.880 0.918
0.600 0.900 0.254
0.350 0.120 0.082
0.842 0.921 0.641
0.658 0.579 0.141
0.158 0.079 0.359
0.100 0.400 0.246
0.900 0.600 0.754
0.342 0.421 0.859
0.150 0.380 0.582
0.400 0.100 0.746
0.850 0.620 0.418
0.424 0.679 0.672
0.076 0.821 0.172
0.628 0.342 0.568
0.128 0.842 0.932
0.372 0.658 0.432
0.924 0.179 0.828
0.576 0.321 0.328
0.779 0.165 0.444
0.721 0.335 0.944
0.279 0.665 0.056
0.872 0.158 0.068
0.221 0.835 0.556
0.485 0.329 0.655
0.977 0.145 0.953
0.598 0.710 0.736
0.234 0.917 0.211
0.902 0.790 0.236
0.762 0.030 0.449
0.638 0.191 0.349
0.015 0.171 0.155
0.319 0.792 0.448
0.681 0.208 0.552
0.964 0.245 0.427
0.181 0.708 0.948
0.523 0.355 0.453
0.098 0.210 0.764
0.515 0.671 0.345
0.299 0.940 0.922
0.238 0.970 0.551
0.766 0.083 0.789
0.536 0.255 0.927
0.738 0.470 0.949
0.262 0.530 0.051
0.402 0.290 0.264
0.362 0.809 0.651
0.819 0.292 0.052
0.138 0.691 0.151
0.985 0.829 0.845
0.266 0.583 0.711
0.023 0.855 0.047
0.201 0.560 0.422
0.862 0.309 0.849
0.464 0.745 0.073
0.701 0.060 0.078
0.036 0.755 0.573
0.477 0.645 0.547
0.734 0.417 0.289
0.799 0.440 0.578
```

Material: KPO3
Method: DFT, PBE-GGA
State: optimized geometry

The structure in POSCAR format:
```
KPO3
1.0
3.566 0.000 0.000
0.000 3.566 0.000
0.000 0.000 3.566
P O K
1 3 1
Direct
0.000 0.000 0.000
0.500 0.000 0.000
0.000 0.500 0.000
0.000 0.000 0.500
0.500 0.500 0.500
```

Material: KP2O2
Method: DFT, PBE-GGA
State: optimized geometry

The structure in POSCAR format:
```
KP2O2
1.0
4.327 0.000 0.000
0.000 4.327 0.000
0.000 0.000 6.706
O P K
2 2 1
Direct
0.000 0.500 0.000
0.500 0.000 0.000
0.500 0.500 0.500
0.000 0.000 0.500
0.000 0.000 0.000
```

Material: KPO3
Method: DFT, PBE-GGA
State: optimized geometry

The structure in POSCAR format:
```
KPO3
1.0
4.257 -0.284 -0.158
0.252 7.164 0.030
0.248 3.238 6.011
P K O
2 2 6
Direct
0.995 0.184 0.421
0.005 0.816 0.579
0.647 0.681 0.101
0.353 0.319 0.899
0.161 0.396 0.269
0.871 0.116 0.196
0.839 0.604 0.731
0.129 0.884 0.804
0.237 0.102 0.670
0.763 0.898 0.330
```

Material: KP2O2
Method: DFT, PBE-GGA
State: optimized geometry

The structure in POSCAR format:
```
KP2O2
1.0
3.885 0.000 0.000
0.000 3.885 0.000
0.000 0.000 6.778
P O K
2 2 1
Direct
0.000 0.500 0.000
0.500 0.000 0.000
0.000 0.000 0.500
0.000 0.000 0.000
0.500 0.500 0.500
```

Number 1: uncorrected energy -4.66 eV per atom. Number 2: uncorrected energy -6.52 eV per atom. Number 3: uncorrected energy -5.54 eV per atom. Number 4: uncorrected energy -5.76 eV per atom. Number 5: uncorrected energy -5.38 eV per atom. Number 6: uncorrected energy -3.89 eV per atom. Number 7: uncorrected energy -5.60 eV per atom. Number 8: uncorrected energy -6.55 eV per atom. Number 9: uncorrected energy -5.52 eV per atom. Number 10: uncorrected energy -2.88 eV per atom. Number 11: uncorrected energy -5.45 eV per atom. Number 12: uncorrected energy -4.12 eV per atom.